# 1
Compound: Sr2Zn2Pt5Au
Source: Alexandria
Functional: PBE
Structure: relaxed

Summary:
DFT formation energy (meV/atom): -562
SG: P4/mbm, No. 127

Unit cell a=9.794 b=9.794 c=3.911 alpha=90.00 beta=90.00 gamma=90.00
Element x y z (fractional)
Sr (0.181, 0.319, 0.000)
Sr (0.319, 0.819, 0.000)
Sr (0.681, 0.181, 0.000)
Sr (0.819, 0.681, 0.000)
Zn (0.119, 0.619, 0.000)
Zn (0.381, 0.119, 0.000)
Zn (0.619, 0.881, 0.000)
Zn (0.881, 0.381, 0.000)
Pt (0.000, 0.500, 0.500)
Pt (0.060, 0.791, 0.500)
Pt (0.209, 0.060, 0.500)
Pt (0.291, 0.560, 0.500)
Pt (0.440, 0.291, 0.500)
Pt (0.500, 0.000, 0.500)
Pt (0.560, 0.709, 0.500)
Pt (0.709, 0.440, 0.500)
Pt (0.791, 0.940, 0.500)
Pt (0.940, 0.209, 0.500)
Au (0.000, 0.000, 0.000)
Au (0.500, 0.500, 0.000)

# 2
Compound: ZnGaSnPb
Source: Alexandria
Functional: PBE
Structure: relaxed

Summary:
DFT formation energy (meV/atom): 111
SG: F-43m, No. 216

Unit cell a=5.121 b=5.121 c=5.121 alpha=60.00 beta=60.00 gamma=60.00
Element x y z (fractional)
Zn (0.000, 0.000, 0.000)
Ga (0.500, 0.500, 0.500)
Sn (0.250, 0.250, 0.250)
Pb (0.750, 0.750, 0.750)

# 3
Compound: Fe3Co5
Source: Alexandria
Functional: PBE
Structure: relaxed

Summary:
DFT formation energy (meV/atom): 35
SG: C2/m, No. 12

Unit cell a=4.358 b=4.358 c=7.187 alpha=114.33 beta=114.33 gamma=47.73
Element x y z (fractional)
Fe (0.000, 0.000, 0.000)
Fe (0.255, 0.255, 0.375)
Fe (0.745, 0.745, 0.625)
Co (0.000, 0.000, 0.500)
Co (0.247, 0.247, 0.875)
Co (0.499, 0.499, 0.246)
Co (0.501, 0.501, 0.754)
Co (0.753, 0.753, 0.125)

# 4
Compound: MnIn2SbCl
Source: Alexandria
Functional: PBE
Structure: relaxed

Summary:
Raw formation energy (eV/atom): 0.66
SG: P4/mmm, No. 123

Unit cell a=5.542 b=5.542 c=5.349 alpha=90.00 beta=90.00 gamma=90.00
Element x y z (fractional)
Mn (0.000, 0.000, 0.000)
In (0.000, 0.500, 0.500)
In (0.500, 0.000, 0.500)
Sb (0.500, 0.500, 0.000)
Cl (0.500, 0.500, 0.500)

# 5
Compound: Y2MgPdN
Source: Alexandria
Functional: PBE
Structure: relaxed

Summary:
Raw formation energy (eV/atom): -0.88
SG: P4/mmm, No. 123

Unit cell a=4.798 b=4.798 c=4.175 alpha=90.00 beta=90.00 gamma=90.00
Element x y z (fractional)
Y (0.000, 0.500, 0.000)
Y (0.500, 0.000, 0.000)
Mg (0.000, 0.000, 0.500)
Pd (0.500, 0.500, 0.500)
N (0.000, 0.000, 0.000)

# 6
Compound: LiYFe2
Source: Alexandria
Functional: PBE
Structure: relaxed

Summary:
DFT formation energy (meV/atom): 649
Energy above the lowest structure with this stoichiometry (meV/atom): 503
SG: R-3m, No. 166

Unit cell a=9.201 b=9.201 c=9.201 alpha=18.90 beta=18.90 gamma=18.90
Element x y z (fractional)
Li (0.000, 0.000, 0.000)
Y (0.500, 0.500, 0.500)
Fe (0.254, 0.254, 0.254)
Fe (0.746, 0.746, 0.746)

Across the entries above, total DFT energy (no corrections) takes the values -90.0; -11.6; -60.6; -17.3; -32.4; -22.7 eV for the cell shown, respectively.
Across the entries above, spin magnetization takes the values 0.00; 0.00; 15.87; 4.90; 0.00; 5.00 μB/f.u., respectively.